First-principles (GGA-PBE) data for a relaxed structure of Y4CoCl, as listed in Alexandria via LeMat-Bulk.

Cell: 6.3349 6.3349 6.3349 Å, 60.00 60.00 60.00°
Fractional positions:
Y1 0.8805 0.3732 0.3732
Y2 0.3732 0.3732 0.8805
Y3 0.3732 0.8805 0.3732
Y4 0.3732 0.3732 0.3732
Co1 0.0000 0.0000 0.0000
Cl1 0.7500 0.7500 0.7500

Properties
Space-group type: F-43m

=====

First-principles (GGA-PBE) data for a relaxed structure of YCoCl2, as listed in Alexandria via LeMat-Bulk.

Cell: 4.6431 4.6431 4.6431 Å, 60.00 60.00 60.00°
Fractional positions:
Y1 0.5000 0.5000 0.5000
Co1 0.0000 0.0000 0.0000
Cl1 0.2500 0.2500 0.2500
Cl2 0.7500 0.7500 0.7500

Properties
Energy above the most stable polymorph in this dataset in eV per atom: 0.5911
Space-group type: Fm-3m

=====

First-principles (GGA-PBE) data for a relaxed structure of YCoCl, as listed in Alexandria via LeMat-Bulk.

Cell: 4.4136 4.4136 4.4136 Å, 60.00 60.00 60.00°
Fractional positions:
Y1 0.0000 0.0000 0.0000
Co1 0.2500 0.2500 0.2500
Cl1 0.5000 0.5000 0.5000

Properties
Space-group type: F-43m

=====

no.,final energy (eV/atom)
1,-5.078
2,-4.698
3,-5.135